(1)
GdLuSe2, relaxed, DFT PBE; space group = R-3m (166); uncorrected energy = -8.126 eV/atom; formation energy without anion corrections = -1733 meV per atom
1.0
-3.6477 1.6229 -0.6657
-1.5841 -0.0410 -3.7244
-4.5934 -5.3533 -0.1866
Se Gd Lu
2 1 1
Direct
0.2543 0.2543 0.2370
0.7457 0.7457 0.7630
0.5000 0.5000 0.5000
0.0000 0.0000 0.0000

(2)
GdLuSi, relaxed, DFT PBE; polymorph energy (0 for the lowest one) = 80 meV/atom; space group = I4mm (107); uncorrected energy = -8.376 eV/atom; formation energy without anion corrections = -368 meV per atom
1.0
-2.9195 -0.2232 -1.6764
0.0996 -3.3613 0.2742
-1.8669 2.1567 6.3592
Lu Si Gd
1 1 1
Direct
0.6470 0.6470 0.2941
0.2801 0.2801 0.5603
0.9228 0.9228 0.8457

(3)
GdLuSi2, relaxed, DFT PBE; space group = R-3m (166); uncorrected energy = -7.866 eV/atom; formation energy without anion corrections = -504 meV per atom
1.0
-2.5561 2.5856 -2.7429
-4.2951 0.9855 1.1504
-0.6921 5.3173 1.8762
Si Gd Lu
2 1 1
Direct
0.7561 0.7561 0.7317
0.2439 0.2439 0.2683
0.0000 0.0000 0.0000
0.5000 0.5000 0.5000

(4)
GdLuSi, relaxed, DFT PBE; polymorph energy (0 for the lowest one) = 0 meV/atom; space group = F-43m (216); uncorrected energy = -8.457 eV/atom; formation energy without anion corrections = -448 meV per atom
1.0
-0.4470 4.5812 -1.3949
-4.0064 1.4555 -2.2278
-3.0871 2.9125 2.2627
Lu Si Gd
1 1 1
Direct
0.5000 0.5000 0.5000
0.2500 0.2500 0.2500
0.0000 0.0000 0.0000

(5)
Sm2GdLu, relaxed, DFT PBE; polymorph energy (0 for the lowest one) = 96 meV/atom; space group = Fm-3m (225); formation energy = 0.11 eV/atom; uncorrected energy = -6.897 eV/atom
1.0
-0.0148 5.4850 1.5236
-3.5279 3.6574 -2.5660
-4.4348 2.1510 2.8483
Lu Gd Sm
1 1 2
Direct
0.0000 0.0000 0.0000
0.5000 0.5000 0.5000
0.7500 0.7500 0.7500
0.2500 0.2500 0.2500

(6)
SmGd2Lu, relaxed, DFT PBE; polymorph energy (0 for the lowest one) = 7 meV/atom; space group = R-3m (166); formation energy = 0.03 eV/atom; uncorrected energy = -9.319 eV/atom
1.0
3.5643 0.0000 0.0000
1.7822 3.0868 0.0000
1.7822 1.0289 11.6103
Gd Lu Sm
2 1 1
Direct
0.7517 0.7517 0.7449
0.2483 0.2483 0.2551
0.5000 0.5000 0.5000
0.0000 0.0000 0.0000

(7)
SmGd2Lu, relaxed, DFT PBE; polymorph energy (0 for the lowest one) = 6 meV/atom; space group = P4/mmm (123); formation energy = 0.03 eV/atom; uncorrected energy = -9.320 eV/atom
1.0
-0.9573 -0.0694 -3.4348
2.7585 -2.1408 -0.7255
-5.7701 -8.0353 1.7705
Gd Sm Lu
2 1 1
Direct
0.0000 0.0000 0.2445
0.0000 0.0000 0.7555
0.5000 0.5000 0.5000
0.5000 0.5000 0.0000

(8)
SmGd2Lu, relaxed, DFT PBE; polymorph energy (0 for the lowest one) = 0 meV/atom; space group = P4/mmm (123); formation energy = 0.02 eV/atom; uncorrected energy = -9.326 eV/atom
1.0
-3.5198 2.6034 2.4982
-2.0498 -4.3046 1.5978
2.9587 0.0998 4.0645
Gd Lu Sm
2 1 1
Direct
0.0000 0.5000 0.0000
0.0000 0.0000 0.5000
0.5000 0.5000 0.5000
0.5000 0.0000 0.0000

(9)
SmGd4Lu, relaxed, DFT PBE; space group = F-43m (216); formation energy = 0.25 eV/atom; uncorrected energy = -10.672 eV/atom
1.0
-3.6330 -3.0382 -4.5489
2.9155 -3.0408 -5.0374
-0.0278 -6.5580 -0.3376
Lu Sm Gd
1 1 4
Direct
0.0000 0.0000 0.0000
0.2500 0.2500 0.2500
0.6252 0.1243 0.6252
0.6252 0.6252 0.6252
0.1243 0.6252 0.6252
0.6252 0.6252 0.1243

(10)
Sm2GdLu, relaxed, DFT PBE; polymorph energy (0 for the lowest one) = 0 meV/atom; space group = P4/mmm (123); formation energy = 0.02 eV/atom; uncorrected energy = -6.993 eV/atom
1.0
5.0345 0.0000 0.0000
0.0000 5.0588 0.0000
0.0000 0.0000 5.0588
Lu Gd Sm
1 1 2
Direct
0.5000 0.5000 0.5000
0.5000 0.0000 0.0000
0.0000 0.5000 0.0000
0.0000 0.0000 0.5000

(11)
SmGdLu, relaxed, DFT PBE; polymorph energy (0 for the lowest one) = 0 meV/atom; space group = P3m1 (156); formation energy = 0.07 eV/atom; uncorrected energy = -7.702 eV/atom
1.0
-2.6882 1.5787 1.4644
-0.9774 -4.5848 3.1485
3.4267 4.0606 1.9127
Sm Gd Lu
1 1 1
Direct
0.6666 0.3333 0.6667
0.1643 0.0000 0.0000
0.1691 0.6667 0.3333

(12)
SmGd2Lu, relaxed, DFT PBE; polymorph energy (0 for the lowest one) = 76 meV/atom; space group = Fm-3m (225); formation energy = 0.10 eV/atom; uncorrected energy = -9.250 eV/atom
1.0
5.6713 0.0000 0.0000
2.8357 4.9115 0.0000
2.8357 1.6372 4.6306
Sm Gd Lu
1 2 1
Direct
0.5000 0.5000 0.5000
0.2500 0.2500 0.2500
0.7500 0.7500 0.7500
0.0000 0.0000 0.0000

(13)
SmGdLu, relaxed, DFT PBE; polymorph energy (0 for the lowest one) = 23 meV/atom; space group = I4mm (107); formation energy = 0.09 eV/atom; uncorrected energy = -7.679 eV/atom
1.0
-2.7647 1.5441 2.6327
2.1876 -1.4746 3.1621
3.2400 4.8485 -2.6621
Gd Lu Sm
1 1 1
Direct
0.3263 0.3263 0.6526
0.6689 0.6689 0.3377
0.0048 0.0048 0.0096

(14)
SmGdTmLu, relaxed, DFT PBE; space group = F-43m (216); formation energy = 0.10 eV/atom; uncorrected energy = -6.853 eV/atom
1.0
-4.8356 -2.8869 0.2561
0.0807 -5.6370 0.0315
-1.3588 -2.8124 4.6933
Gd Sm Lu Tm
1 1 1 1
Direct
0.2500 0.2500 0.2500
0.7500 0.7500 0.7500
0.0000 0.0000 0.0000
0.5000 0.5000 0.5000

(15)
SmGdYLu, relaxed, DFT PBE; space group = F-43m (216); formation energy = 0.10 eV/atom; uncorrected energy = -7.344 eV/atom
1.0
5.6727 0.0000 0.0000
2.8363 4.9127 0.0000
2.8363 1.6376 4.6317
Sm Lu Y Gd
1 1 1 1
Direct
0.5000 0.5000 0.5000
0.2500 0.2500 0.2500
0.7500 0.7500 0.7500
0.0000 0.0000 0.0000

(16)
SmGdLuZn, relaxed, DFT PBE; space group = F-43m (216); formation energy = 0.00 eV/atom; uncorrected energy = -6.145 eV/atom
1.0
-1.3596 -4.7973 -1.9217
3.5046 -2.8101 -2.8942
2.2119 -4.4183 2.0351
Lu Gd Zn Sm
1 1 1 1
Direct
0.5000 0.5000 0.5000
0.7500 0.7500 0.7500
0.0000 0.0000 0.0000
0.2500 0.2500 0.2500